Density functional theory data (GGA-PBE) for an optimized crystal structure of AcPt2Au8.

Cell and atoms, written as extended XYZ:
```
11
Lattice="5.6643 0.0000 0.0000 0.0000 5.6643 0.0000 0.0000 0.0000 8.5749" Properties=species:S:1:pos:R:3 pbc="T T T"
Au 1.3989 4.2654 1.8721
Au 1.3989 1.3989 6.7028
Au 4.2654 1.3989 1.8721
Au 4.2654 1.3989 6.7028
Au 4.2654 4.2654 1.8721
Au 1.3989 1.3989 1.8721
Au 1.3989 4.2654 6.7028
Au 4.2654 4.2654 6.7028
Pt 0.0000 2.8322 0.0000
Pt 2.8322 0.0000 0.0000
Ac 2.8322 2.8322 4.2874
```

Spin magnetization ... 0.000 μB per atom
Total DFT energy (no corrections) ... -3.831 eV/atom
Energy of formation ... 24.5 meV/atom